*w*
MgB2O4 | GGA-PBE | relaxed

Cell lengths 6.924, 6.924, 9.697 Å; angles 127.12, 127.13, 46.67 degrees
Element x y z (fractional)
O 0.799 0.224 0.851
O 0.877 0.800 0.350
O 0.200 0.123 0.650
O 0.474 0.549 0.351
O 0.373 0.950 0.150
Mg 0.999 0.001 0.000
B 0.625 0.875 0.250
O 0.050 0.627 0.850
B 0.625 0.375 0.750
O 0.776 0.201 0.149
B 0.625 0.375 0.250
Mg 0.251 0.749 0.500
B 0.125 0.375 0.750
O 0.451 0.526 0.649

Summary:
Space-group type: C2/c (15)
M_tot in μB per formula unit: 0.0

***

*x*
MgB2O4 | GGA-PBE | relaxed

Cell lengths 4.754, 4.754, 6.483 Å; angles 111.51, 111.51, 90.00 degrees
Element x y z (fractional)
B 0.875 0.125 0.750
B 0.375 0.125 0.250
Mg 0.250 0.750 0.500
Mg 0.500 0.500 0.000
O 0.122 0.905 0.245
O 0.655 0.372 0.745
O 0.090 0.372 0.745
O 0.122 0.340 0.245
B 0.875 0.125 0.250
O 0.628 0.910 0.255
O 0.095 0.878 0.755
B 0.875 0.625 0.750
O 0.628 0.345 0.255
O 0.660 0.878 0.755

Summary:
Space-group type: I4_1/amd (141)
M_tot in μB per formula unit: 0.0

***

The least stable of them is *x*.

***

*w*
Mg2BO4 | GGA-PBE | relaxed

Cell lengths 3.126, 9.383, 9.683 Å; angles 90.00, 90.00, 90.00 degrees
Each line ends with the local moment (μB).
Element x y z (fractional)
O 0.750 0.102 0.999  0.63
O 0.750 0.846 0.473  0.19
Mg 0.750 0.196 0.396  0.00
B 0.750 0.869 0.332  -0.01
O 0.250 0.346 0.027  0.19
O 0.250 0.154 0.527  0.19
B 0.250 0.369 0.168  -0.01
Mg 0.750 0.935 0.859  0.00
O 0.750 0.751 0.244  0.01
Mg 0.250 0.435 0.641  0.00
O 0.250 0.249 0.756  0.01
O 0.750 0.494 0.779  0.03
Mg 0.750 0.565 0.359  0.00
O 0.250 0.994 0.721  0.03
O 0.750 0.654 0.973  0.19
O 0.750 0.006 0.279  0.03
O 0.250 0.602 0.501  0.63
B 0.250 0.131 0.668  -0.01
O 0.250 0.506 0.221  0.03
Mg 0.250 0.804 0.604  0.00
O 0.250 0.898 0.001  0.63
O 0.750 0.398 0.499  0.63
B 0.750 0.631 0.832  -0.01
Mg 0.250 0.065 0.141  0.00
Mg 0.250 0.696 0.104  0.00
Mg 0.750 0.304 0.896  0.00
O 0.750 0.749 0.744  0.01
O 0.250 0.251 0.256  0.01

Summary:
Space-group type: Pnma (62)
M_tot in μB per formula unit: 1.0

***

*x*
Mg2BO4 | GGA-PBE | relaxed

Cell lengths 4.846, 5.354, 5.521 Å; angles 90.00, 108.43, 90.00 degrees
Each line ends with the local moment (μB).
Element x y z (fractional)
Mg 0.401 0.250 0.997  0.00
O 0.126 0.750 0.900  0.47
Mg 0.229 0.250 0.441  0.00
B 0.794 0.250 0.815  -0.02
Mg 0.771 0.750 0.559  0.00
O 0.404 0.973 0.250  0.15
O 0.027 0.250 0.707  0.11
O 0.404 0.527 0.250  0.15
O 0.596 0.473 0.750  0.15
O 0.596 0.027 0.750  0.15
B 0.206 0.750 0.185  -0.02
O 0.874 0.250 0.100  0.47
Mg 0.599 0.750 0.003  0.00
O 0.973 0.750 0.293  0.11

Summary:
Space-group type: P2_1/m (11)
M_tot in μB per formula unit: 1.0

***

The least stable of them is *x*.

***

*w*
MgBPO2 | GGA-PBE | relaxed

Cell lengths 3.671, 3.671, 5.738 Å; angles 90.00, 90.00, 90.00 degrees
Each line ends with the local moment (μB).
Element x y z (fractional)
B 0.500 0.500 0.500  -0.02
P 0.000 0.000 0.500  0.29
Mg 0.000 0.000 0.000  -0.01
O 0.500 0.000 0.000  0.79
O 0.000 0.500 0.000  0.79

Summary:
Space-group type: P4/mmm (123)
M_tot in μB per formula unit: 2.4

***

*x*
MgBPO2 | GGA-PBE | relaxed

Cell lengths 3.369, 3.369, 4.884 Å; angles 90.00, 90.00, 90.00 degrees
Each line ends with the local moment (μB).
Element x y z (fractional)
O 0.500 0.000 0.000  0.10
P 0.000 0.000 0.500  0.03
Mg 0.500 0.500 0.500  0.00
O 0.000 0.500 0.000  0.10
B 0.000 0.000 0.000  0.00

Summary:
Space-group type: P4/mmm (123)
M_tot in μB per formula unit: 0.3

***

The least stable of them is *w*.

***

*w*
Mg6BSbO8 | GGA-PBE | relaxed

Cell lengths 4.379, 4.379, 8.973 Å; angles 90.00, 90.00, 90.00 degrees
Element x y z (fractional)
Mg 0.500 0.000 0.263
O 0.000 0.000 0.729
O 0.000 0.500 0.000
O 0.500 0.500 0.735
Mg 0.000 0.500 0.263
Mg 0.500 0.000 0.737
Sb 0.500 0.500 0.000
O 0.000 0.000 0.271
Mg 0.000 0.000 0.500
Mg 0.000 0.500 0.737
O 0.000 0.500 0.500
O 0.500 0.500 0.265
O 0.500 0.000 0.500
B 0.000 0.000 0.000
O 0.500 0.000 0.000
Mg 0.500 0.500 0.500

Summary:
Space-group type: P4/mmm (123)
M_tot in μB per formula unit: 0.0

***

*x*
Mg6BSbO8 | GGA-PBE | relaxed

Cell lengths 4.393, 4.393, 8.974 Å; angles 90.00, 90.00, 90.00 degrees
Element x y z (fractional)
Mg 0.000 0.500 0.225
O 0.500 0.500 0.750
O 0.000 0.000 0.249
O 0.500 0.500 0.250
Mg 0.000 0.500 0.775
Mg 0.500 0.500 0.500
Mg 0.500 0.500 0.000
Mg 0.500 0.000 0.775
O 0.000 0.500 0.000
Mg 0.500 0.000 0.225
O 0.500 0.000 0.000
Sb 0.000 0.000 0.500
O 0.000 0.500 0.500
O 0.500 0.000 0.500
B 0.000 0.000 0.000
O 0.000 0.000 0.751

Summary:
Space-group type: P4/mmm (123)
M_tot in μB per formula unit: 0.0

***

The least stable of them is *x*.

***

*w*
Mg6SiBO8 | GGA-PBE | relaxed

Cell lengths 4.250, 4.250, 8.669 Å; angles 90.00, 90.00, 90.00 degrees
Element x y z (fractional)
O 0.500 0.500 0.738
B 0.500 0.500 0.000
Mg 0.000 0.500 0.751
Mg 0.500 0.000 0.751
O 0.000 0.500 0.000
Mg 0.000 0.000 0.500
O 0.000 0.000 0.754
O 0.500 0.000 0.500
Si 0.000 0.000 0.000
O 0.000 0.000 0.246
O 0.000 0.500 0.500
Mg 0.500 0.500 0.500
O 0.500 0.500 0.262
O 0.500 0.000 0.000
Mg 0.500 0.000 0.249
Mg 0.000 0.500 0.249

Summary:
Space-group type: P4/mmm (123)
M_tot in μB per formula unit: 0.0

***

*x*
Mg6SiBO8 | GGA-PBE | relaxed

Cell lengths 4.188, 4.188, 8.899 Å; angles 90.00, 90.00, 90.00 degrees
Each line ends with the local moment (μB).
Element x y z (fractional)
O 0.000 0.500 0.500  0.02
Si 0.000 0.000 0.000  0.01
O 0.000 0.000 0.193  0.00
Mg 0.500 0.000 0.734  0.00
O 0.500 0.500 0.251  0.00
O 0.500 0.500 0.749  0.00
Mg 0.000 0.500 0.266  0.00
Mg 0.500 0.500 0.500  0.00
O 0.000 0.000 0.807  0.00
B 0.000 0.000 0.500  0.10
Mg 0.500 0.000 0.266  0.00
O 0.500 0.000 0.500  0.02
O 0.500 0.000 0.000  0.00
O 0.000 0.500 0.000  0.00
Mg 0.500 0.500 0.000  0.00
Mg 0.000 0.500 0.734  0.00

Summary:
Space-group type: P4/mmm (123)
M_tot in μB per formula unit: 0.3

***

The least stable of them is *w*.

***

*w*
Mg6TiBO8 | GGA-PBE | relaxed

Cell lengths 4.226, 4.226, 8.736 Å; angles 90.00, 90.00, 90.00 degrees
Each line ends with the local moment (μB).
Element x y z (fractional)
O 0.000 0.500 0.500  0.00
Mg 0.000 0.500 0.749  0.00
Mg 0.000 0.500 0.251  0.00
O 0.500 0.000 0.000  -0.03
O 0.500 0.000 0.500  0.00
Mg 0.500 0.500 0.500  0.00
O 0.000 0.000 0.246  0.01
O 0.500 0.500 0.736  0.00
O 0.000 0.500 0.000  -0.03
B 0.500 0.500 0.000  0.03
O 0.000 0.000 0.754  0.01
Mg 0.000 0.000 0.500  0.00
Mg 0.500 0.000 0.251  0.00
Mg 0.500 0.000 0.749  0.00
Ti 0.000 0.000 0.000  1.10
O 0.500 0.500 0.264  0.00

Summary:
Space-group type: P4/mmm (123)
M_tot in μB per formula unit: 1.3

***

*x*
Mg6TiBO8 | GGA-PBE | relaxed

Cell lengths 4.228, 4.228, 8.779 Å; angles 90.00, 90.00, 90.00 degrees
Each line ends with the local moment (μB).
Element x y z (fractional)
B 0.000 0.000 0.500  0.00
O 0.000 0.500 0.500  0.00
Mg 0.500 0.000 0.262  0.00
O 0.500 0.000 0.000  -0.01
Mg 0.500 0.000 0.738  0.00
O 0.000 0.000 0.234  0.01
Mg 0.000 0.500 0.738  0.00
O 0.500 0.500 0.250  0.00
O 0.000 0.000 0.766  0.01
O 0.500 0.000 0.500  0.00
Ti 0.000 0.000 0.000  1.05
O 0.500 0.500 0.750  0.00
Mg 0.500 0.500 0.000  0.00
Mg 0.000 0.500 0.262  0.00
Mg 0.500 0.500 0.500  0.00
O 0.000 0.500 0.000  -0.01

Summary:
Space-group type: P4/mmm (123)
M_tot in μB per formula unit: 1.2

***

The least stable of them is *x*.